1.
PBE DyYZrSc, optimized geometry; calculated density = 5.8 g/cm3; DOS at the Fermi energy = 2.08 states/eV per atom; formation energy = 201 meV/atom; total DFT energy (no corrections) = -6.29 eV/atom
1.0
5.383 0.000 0.000
2.692 4.662 0.000
2.692 1.554 4.395
Y Sc Zr Dy
1 1 1 1
direct
0.750 0.750 0.750
0.000 0.000 0.000
0.250 0.250 0.250
0.500 0.500 0.500

---

2.
PBE Dy3ScZn8, optimized geometry; calculated density = 7.8 g/cm3; DOS at the Fermi energy = 0.63 states/eV per atom; formation energy = -329 meV/atom; total DFT energy (no corrections) = -2.86 eV/atom
1.0
5.415 0.000 0.000
2.708 4.690 0.000
2.708 1.563 8.812
Dy Sc Zn
3 1 8
direct
0.376 0.376 0.872
0.998 0.998 0.005
0.501 0.501 0.497
0.874 0.874 0.377
0.936 0.437 0.191
0.441 0.938 0.684
0.437 0.437 0.191
0.938 0.938 0.684
0.188 0.188 0.437
0.688 0.688 0.937
0.437 0.936 0.191
0.938 0.441 0.684

---

3.
PBE Dy2ScZn6, optimized geometry; calculated density = 7.3 g/cm3; DOS at the Fermi energy = 0.65 states/eV per atom; formation energy = -362 meV/atom; total DFT energy (no corrections) = -2.94 eV/atom
1.0
3.399 0.000 0.000
0.000 6.660 -3.845
0.000 0.000 7.690
Dy Sc Zn
2 1 6
direct
0.000 0.333 0.667
0.000 0.667 0.333
0.000 0.000 0.000
0.500 0.328 0.328
0.500 0.672 0.672
0.500 0.000 0.672
0.500 0.672 0.000
0.500 0.328 0.000
0.500 0.000 0.328

---

4.
PBE DyScZn10, optimized geometry; calculated density = 7.2 g/cm3; DOS at the Fermi energy = 0.43 states/eV per atom; formation energy = -237 meV/atom; total DFT energy (no corrections) = -2.21 eV/atom
1.0
4.209 0.000 0.000
0.000 5.248 0.000
0.000 0.000 9.058
Dy Sc Zn
1 1 10
direct
0.000 0.000 0.000
0.000 0.500 0.500
0.000 0.000 0.340
0.000 0.500 0.826
0.000 0.500 0.174
0.000 0.000 0.660
0.500 0.000 0.500
0.500 0.500 0.000
0.500 0.250 0.251
0.500 0.750 0.749
0.500 0.750 0.251
0.500 0.250 0.749

---

5.
PBE DyScZn2, optimized geometry; calculated density = 6.8 g/cm3; DOS at the Fermi energy = 1.11 states/eV per atom; formation energy = -346 meV/atom; total DFT energy (no corrections) = -3.72 eV/atom
1.0
4.899 0.000 0.000
2.449 4.242 0.000
2.449 1.414 4.000
Sc Zn Dy
1 2 1
direct
0.250 0.250 0.250
0.000 0.000 0.000
0.500 0.500 0.500
0.750 0.750 0.750

---

6.
PBE DySc2Zn3, optimized geometry; calculated density = 6.2 g/cm3; DOS at the Fermi energy = 0.97 states/eV per atom; formation energy = -353 meV/atom; total DFT energy (no corrections) = -3.87 eV/atom
1.0
3.421 0.000 0.000
0.000 3.421 0.000
0.000 0.000 10.288
Dy Sc Zn
1 2 3
direct
0.500 0.500 0.500
0.500 0.500 0.840
0.500 0.500 0.160
0.000 0.000 0.000
0.000 0.000 0.686
0.000 0.000 0.314

---

7.
PBE Dy2ScZn3, optimized geometry; calculated density = 7.3 g/cm3; DOS at the Fermi energy = 1.11 states/eV per atom; formation energy = -341 meV/atom; total DFT energy (no corrections) = -3.57 eV/atom
1.0
-1.379 2.493 2.026
-3.176 -0.728 -1.265
-1.444 -7.031 7.671
Dy Sc Zn
2 1 3
direct
0.500 0.500 0.827
0.500 0.500 0.173
0.500 0.500 0.500
0.000 0.000 0.000
0.000 0.000 0.647
0.000 0.000 0.353

---

8.
PBE DySc2Zn9, optimized geometry; calculated density = 6.8 g/cm3; DOS at the Fermi energy = 0.53 states/eV per atom; formation energy = -320 meV/atom; total DFT energy (no corrections) = -2.71 eV/atom
1.0
5.087 0.000 1.514
2.318 4.528 1.514
0.108 0.066 8.939
Dy Sc Zn
1 2 9
direct
0.000 0.000 0.000
0.858 0.858 0.427
0.142 0.142 0.573
0.665 0.665 0.005
0.335 0.335 0.995
0.500 0.500 0.500
0.411 0.411 0.255
0.922 0.411 0.255
0.411 0.922 0.255
0.589 0.589 0.745
0.589 0.078 0.745
0.078 0.589 0.745

---

9.
PBE Dy3ScZn2, optimized geometry; distance to the lowest polymorph of the same formula = 0.000 eV per atom; calculated density = 7.5 g/cm3; DOS at the Fermi energy = 0.58 states/eV per atom; formation energy = -230 meV/atom; total DFT energy (no corrections) = -4.01 eV/atom
1.0
5.000 0.000 0.000
0.000 6.479 0.000
0.000 0.000 9.010
Dy Sc Zn
6 2 4
direct
0.000 0.487 0.949
0.000 0.987 0.051
0.500 0.672 0.183
0.500 0.172 0.817
0.000 0.322 0.336
0.000 0.822 0.664
0.500 0.516 0.552
0.500 0.016 0.448
0.500 0.715 0.844
0.500 0.215 0.156
0.000 0.287 0.652
0.000 0.787 0.348

---

10.
PBE Dy3ScZn4, optimized geometry; calculated density = 7.6 g/cm3; DOS at the Fermi energy = 1.11 states/eV per atom; formation energy = -340 meV/atom; total DFT energy (no corrections) = -3.49 eV/atom
1.0
-2.024 -4.530 -0.344
1.464 -3.618 3.082
-5.959 -0.539 6.211
Sc Zn Dy
1 4 3
direct
0.000 0.000 0.000
0.877 0.877 0.368
0.374 0.374 0.879
0.123 0.123 0.632
0.626 0.626 0.121
0.252 0.252 0.244
0.748 0.748 0.756
0.500 0.500 0.500

---

11.
PBE DySc2Zn, optimized geometry; distance to the lowest polymorph of the same formula = 0.017 eV per atom; calculated density = 5.6 g/cm3; DOS at the Fermi energy = 1.27 states/eV per atom; formation energy = -150 meV/atom; total DFT energy (no corrections) = -4.78 eV/atom
1.0
3.357 0.000 0.000
0.000 3.357 0.000
0.000 0.000 8.309
Sc Zn Dy
2 1 1
direct
0.000 0.000 0.798
0.000 0.000 0.202
0.500 0.500 0.000
0.500 0.500 0.500

---

12.
PBE DySc2Zn, optimized geometry; distance to the lowest polymorph of the same formula = 0.105 eV per atom; calculated density = 5.7 g/cm3; DOS at the Fermi energy = 1.34 states/eV per atom; formation energy = -62 meV/atom; total DFT energy (no corrections) = -4.70 eV/atom
1.0
-0.424 2.217 3.983
-4.243 -1.423 0.340
1.403 -3.661 2.186
Sc Zn Dy
2 1 1
direct
0.000 0.000 0.500
0.000 0.500 0.000
0.500 0.000 0.000
0.500 0.500 0.500

---

13.
PBE Dy3Sc2Zn3, optimized geometry; calculated density = 6.9 g/cm3; DOS at the Fermi energy = 1.41 states/eV per atom; formation energy = -256 meV/atom; total DFT energy (no corrections) = -4.04 eV/atom
1.0
3.471 0.000 -0.559
-0.190 4.915 -1.182
-0.031 0.007 10.860
Dy Sc Zn
3 2 3
direct
0.378 0.378 0.756
0.622 0.622 0.244
0.500 0.000 0.000
0.268 0.768 0.536
0.732 0.232 0.464
0.877 0.877 0.755
0.000 0.500 0.000
0.123 0.123 0.245

---

14.
PBE DySc2Zn, optimized geometry; distance to the lowest polymorph of the same formula = 0.126 eV per atom; calculated density = 5.4 g/cm3; DOS at the Fermi energy = 1.40 states/eV per atom; formation energy = -40 meV/atom; total DFT energy (no corrections) = -4.68 eV/atom
1.0
-0.203 -2.383 2.408
2.789 -0.956 1.681
-0.807 5.792 8.056
Dy Sc Zn
1 2 1
direct
0.501 0.501 0.498
0.072 0.072 0.785
0.261 0.261 0.216
0.666 0.666 0.001

---

15.
PBE Dy6Sc2Zn, optimized geometry; calculated density = 7.4 g/cm3; DOS at the Fermi energy = 1.70 states/eV per atom; formation energy = 1 meV/atom; total DFT energy (no corrections) = -4.62 eV/atom
1.0
-2.803 4.402 0.050
-1.939 -1.343 9.583
8.100 5.130 2.358
Dy Sc Zn
12 4 2
direct
0.000 0.040 0.188
0.000 0.688 0.541
0.000 0.622 0.879
0.500 0.122 0.621
0.500 0.188 0.959
0.500 0.540 0.312
0.000 0.960 0.812
0.000 0.312 0.459
0.000 0.378 0.121
0.500 0.878 0.379
0.500 0.812 0.041
0.500 0.460 0.688
0.000 0.288 0.787
0.500 0.788 0.713
0.500 0.212 0.287
0.000 0.712 0.213
0.500 0.500 0.000
0.000 0.000 0.500

---

16.
PBE DySc3Zn8, optimized geometry; distance to the lowest polymorph of the same formula = 0.002 eV per atom; calculated density = 6.5 g/cm3; DOS at the Fermi energy = 0.86 states/eV per atom; formation energy = -328 meV/atom; total DFT energy (no corrections) = -3.14 eV/atom
1.0
-3.399 -3.278 -2.497
3.781 -2.004 3.197
-5.342 0.492 6.626
Dy Sc Zn
1 3 8
direct
0.000 0.000 0.566
0.667 0.333 0.430
0.667 0.333 0.056
0.000 0.000 0.946
0.333 0.667 0.500
0.333 0.667 0.000
0.504 0.009 0.754
0.504 0.496 0.754
0.991 0.496 0.754
0.163 0.327 0.247
0.163 0.837 0.247
0.673 0.837 0.247

---

17.
PBE DySc2Zn, optimized geometry; distance to the lowest polymorph of the same formula = 0.000 eV per atom; calculated density = 5.6 g/cm3; DOS at the Fermi energy = 1.32 states/eV per atom; formation energy = -167 meV/atom; total DFT energy (no corrections) = -4.80 eV/atom
1.0
-1.941 1.561 2.435
1.385 -3.524 3.364
4.471 3.981 -1.480
Dy Sc Zn
1 2 1
direct
0.000 0.500 0.000
0.784 0.784 0.567
0.216 0.216 0.433
0.500 0.000 0.000

---

18.
PBE Dy5ScZn6, optimized geometry; calculated density = 7.8 g/cm3; DOS at the Fermi energy = 1.16 states/eV per atom; formation energy = -339 meV/atom; total DFT energy (no corrections) = -3.42 eV/atom
1.0
4.717 -0.028 1.572
0.038 7.099 0.013
-0.013 -0.014 7.902
Sc Zn Dy
1 6 5
direct
0.000 0.000 0.000
0.839 0.758 0.323
0.839 0.242 0.323
0.500 0.240 0.000
0.500 0.760 0.000
0.161 0.758 0.677
0.161 0.242 0.677
0.669 0.500 0.662
0.335 0.000 0.330
0.000 0.500 0.000
0.665 0.000 0.670
0.331 0.500 0.338

---

19.
PBE DyScZn2, optimized geometry; calculated density = 6.8 g/cm3; DOS at the Fermi energy = 0.98 states/eV per atom; formation energy = -348 meV/atom; total DFT energy (no corrections) = -3.72 eV/atom
1.0
-2.927 -1.784 0.283
1.540 -2.184 2.165
-1.921 4.009 5.409
Sc Zn Dy
1 2 1
direct
0.500 0.500 0.000
0.000 0.000 0.776
0.000 0.000 0.224
0.500 0.500 0.500

---

20.
PBE DySc2Zn, optimized geometry; distance to the lowest polymorph of the same formula = 0.312 eV per atom; calculated density = 5.3 g/cm3; DOS at the Fermi energy = 1.66 states/eV per atom; formation energy = 145 meV/atom; total DFT energy (no corrections) = -4.49 eV/atom
1.0
3.261 0.000 0.000
1.631 2.824 0.000
1.631 0.941 10.807
Sc Zn Dy
2 1 1
direct
0.101 0.101 0.698
0.899 0.899 0.302
0.500 0.500 0.500
0.000 0.000 0.000

---

Computed total moment, in the same sequence as the records: 2.39 0.00 0.00 0.00 0.00 0.00 0.00 0.00 0.00 0.00 0.00 0.58 0.00 0.54 0.00 0.00 0.00 0.00 0.00 0.51 μB/cell.